{
  "formula": "TaHgAu2",
  "functional": "SCAN",
  "state": "single point on PBEsol structure",
  "lattice": [[2.9516, 0.0000, 0.0000], [0.0000, 2.9516, 0.0000], [0.0000, 0.0000, 8.2168]],
  "species": ["Ta", "Hg", "Au", "Au"],
  "frac_coords": [[0.0000, 0.0000, 0.0000], [0.0000, 0.0000, 0.5000], [0.5000, 0.5000, 0.2323], [0.5000, 0.5000, 0.7677]],
  "ef_ev_per_atom": -0.08,
  "rho_g_cm3": 18.0,
  "dft_energy_ev_per_cell": -273.373
}